Record 1
# SrZrAu

An optimized crystal structure of SrZrAu (PBE, the Alexandria database).

Cell: 4.6588 4.6588 4.8361 Å, 90.00 90.00 120.00°
Space group P-6m2 (No. 187)
Symmetry-distinct sites (fractional):
Sr 0.0000 0.0000 0.0000 x1
Zr 0.6667 0.3333 0.5000 x1
Au 0.3333 0.6667 0.5000 x1

## Properties
The value obtained for the excess energy over the best structure of this formula in the dataset is 0.092 eV per atom. As for the mass density: 6.86 g/cm³. The total magnetization comes out at 0.00 μB per formula unit. The volume is 90.9 Å³ per cell. Its formation energy is -0.0997 eV per atom.

***

Record 2
# SmTmPdRu

An optimized crystal structure of SmTmPdRu (PBE, the Alexandria database).

Cell: 6.926 6.926 6.926 Å, 90.00 90.00 90.00°
Space group F-43m (No. 216)
Symmetry-distinct sites (fractional):
Sm 0.000 0.000 0.000 x4
Tm 0.000 0.000 0.500 x4
Pd 0.250 0.250 0.750 x4
Ru 0.250 0.250 0.250 x4

## Properties
The value obtained for the excess energy over the best structure of this formula in the dataset is 0.043 eV per atom. As for the mass density: 10.53 g/cm³. The total magnetization comes out at 0.00 μB per formula unit. The volume is 332.3 Å³ per cell. Its formation energy is -0.6028 eV per atom.

***

Record 3
# MgMoRh2

An optimized crystal structure of MgMoRh2 (PBE, the Alexandria database).

Cell: 6.247 6.247 6.247 Å, 90.00 90.00 90.00°
Space group F-43m (No. 216)
Symmetry-distinct sites (fractional):
Mg 0.000 0.000 0.000 x4
Mo 0.250 0.250 0.250 x4
Rh 0.000 0.000 0.500 x4
Rh 0.250 0.250 0.750 x4

## Properties
As for the mass density: 8.89 g/cm³. The total magnetization comes out at 1.17 μB per formula unit. The volume is 243.7 Å³ per cell. Its formation energy is 0.1559 eV per atom.

***

What is the mass density in the second record? 10.53 g/cm³